1.
# PBE-GGA Ac2PuP3Pd12, relaxed
data_Ac2PuP3Pd12
_chemical_formula_sum 'Ac6 Pu3 P9 Pd36'
_symmetry_space_group_name_H-M 'R -3 m'
_symmetry_Int_Tables_number 166
_symmetry_space_group_name_Hall '-R 3 2"'
_cell_length_a 8.3785
_cell_length_b 8.3785
_cell_length_c 18.7599
_cell_angle_alpha 90.00
_cell_angle_beta 90.00
_cell_angle_gamma 120.00
loop_
_atom_site_label
_atom_site_type_symbol
_atom_site_fract_x
_atom_site_fract_y
_atom_site_fract_z
Ac1 Ac 0.0000 0.0000 0.1021
Pu1 Pu 0.0000 0.0000 0.5000
P1 P 0.0000 0.5000 0.0000
Pd1 Pd 0.0239 0.5120 0.8763
Pd2 Pd 0.0490 0.5245 0.3490
# * DFT formation energy: -7.2 eV per formula unit
# * density: 9.033 g/cm³
# * DOS(E_F): 1.123 states/eV/atom
# * spin magnetization: 5.16 μB/f.u.
# * total energy: -0.4421 Ry/atom

2.
# PBE-GGA AcP2PdRu, relaxed
data_AcP2PdRu
_chemical_formula_sum 'Ac2 P4 Pd2 Ru2'
_symmetry_space_group_name_H-M 'I -4 m 2'
_symmetry_Int_Tables_number 119
_symmetry_space_group_name_Hall 'I -4 -2'
_cell_length_a 3.994
_cell_length_b 3.994
_cell_length_c 11.989
_cell_angle_alpha 90.00
_cell_angle_beta 90.00
_cell_angle_gamma 90.00
loop_
_atom_site_label
_atom_site_type_symbol
_atom_site_fract_x
_atom_site_fract_y
_atom_site_fract_z
Ac1 Ac 0.000 0.000 0.000
P1 P 0.000 0.000 0.361
Pd1 Pd 0.000 0.500 0.250
Ru1 Ru 0.000 0.500 0.750
# * DFT formation energy: -4.3 eV per formula unit
# * density: 8.620 g/cm³
# * DOS(E_F): 0.905 states/eV/atom
# * spin magnetization: 0.00 μB/f.u.
# * total energy: -0.4951 Ry/atom

3.
# PBE-GGA Ac2SbP3Pd12, relaxed
data_Ac2SbP3Pd12
_chemical_formula_sum 'Ac6 Sb3 P9 Pd36'
_symmetry_space_group_name_H-M 'R -3 m'
_symmetry_Int_Tables_number 166
_symmetry_space_group_name_Hall '-R 3 2"'
_cell_length_a 8.3327
_cell_length_b 8.3327
_cell_length_c 18.9161
_cell_angle_alpha 90.00
_cell_angle_beta 90.00
_cell_angle_gamma 120.00
loop_
_atom_site_label
_atom_site_type_symbol
_atom_site_fract_x
_atom_site_fract_y
_atom_site_fract_z
Ac1 Ac 0.0000 0.0000 0.1063
Sb1 Sb 0.0000 0.0000 0.5000
P1 P 0.0000 0.5000 0.0000
Pd1 Pd 0.0051 0.5025 0.8790
Pd2 Pd 0.0457 0.5229 0.3508
# * E_form (uncorrected): -410 meV/atom
# * density: 8.521 g/cm³
# * DOS(E_F): 0.394 states/eV/atom
# * spin magnetization: 0.00 μB/f.u.
# * total energy: -0.4012 Ry/atom

Q: Which value of DOS(E_F) does entry 3 give?
A: 0.394 states/eV/atom

Repeat the second record exactly.
# PBE-GGA AcP2PdRu, relaxed
data_AcP2PdRu
_chemical_formula_sum 'Ac2 P4 Pd2 Ru2'
_symmetry_space_group_name_H-M 'I -4 m 2'
_symmetry_Int_Tables_number 119
_symmetry_space_group_name_Hall 'I -4 -2'
_cell_length_a 3.994
_cell_length_b 3.994
_cell_length_c 11.989
_cell_angle_alpha 90.00
_cell_angle_beta 90.00
_cell_angle_gamma 90.00
loop_
_atom_site_label
_atom_site_type_symbol
_atom_site_fract_x
_atom_site_fract_y
_atom_site_fract_z
Ac1 Ac 0.000 0.000 0.000
P1 P 0.000 0.000 0.361
Pd1 Pd 0.000 0.500 0.250
Ru1 Ru 0.000 0.500 0.750
# * DFT formation energy: -4.3 eV per formula unit
# * density: 8.620 g/cm³
# * DOS(E_F): 0.905 states/eV/atom
# * spin magnetization: 0.00 μB/f.u.
# * total energy: -0.4951 Ry/atom

Q: DOS(E_F) of number 2 (AcP2PdRu)?
A: 0.905 states/eV/atom